# CaInSeO5 PBE-GGA relaxed
data_CaInSeO5
_cell_length_a 7.443
_cell_length_b 9.163
_cell_length_c 7.664
_cell_angle_alpha 90.00
_cell_angle_beta 117.06
_cell_angle_gamma 90.00
_symmetry_space_group_name_H-M 'C 1 2/c 1'
_symmetry_Int_Tables_number 15
_symmetry_space_group_name_Hall '-C 2yc'
loop_
_atom_site_label
_atom_site_type_symbol
_atom_site_fract_x
_atom_site_fract_y
_atom_site_fract_z
Ca1 Ca 0.000 0.181 0.250
In1 In 0.000 0.500 0.000
Se1 Se 0.000 0.189 0.750
O1 O 0.000 0.424 0.250
O2 O 0.121 0.270 0.601
O3 O 0.168 0.066 0.912
# - VASP energy (eV per cell) = -178.97
# - magnetic moment (Bohr magnetons per cell) = 3.6
# - calculated volume (Å³ per atom) = 14.55
# - raw formation energy (eV per atom) = -1.466